w:
# NaSb2Au2

A PBEsol-optimized structure of NaSb2Au2 (meta-GGA SCAN, Alexandria).

Cell: 4.906 4.906 6.288 Å, 112.96 112.96 90.00°
Atoms (fractional coordinates):
Sb  0.250  0.750  0.500
Sb  0.750  0.250  0.500
Au  0.371  0.371  0.743
Au  0.629  0.629  0.257
Na  0.000  0.000  0.000

## Properties
D(E_F), states/eV/atom: 0.4758
Size of the total moment, μB per formula unit: 0.000
V, Å³/f.u.: 126

x:
# NaSb2Au2

A PBEsol-optimized structure of NaSb2Au2 (meta-GGA SCAN, Alexandria).

Cell: 4.663 4.663 6.645 Å, 110.54 110.54 90.00°
Atoms (fractional coordinates):
Sb  0.377  0.377  0.754
Sb  0.623  0.623  0.246
Au  0.250  0.750  0.500
Au  0.750  0.250  0.500
Na  0.000  0.000  0.000

## Properties
D(E_F), states/eV/atom: 0.2828
Size of the total moment, μB per formula unit: 0.000
V, Å³/f.u.: 125

Here are the energies relative to the best structure, in meV/atom: w 27; x 0.